Record 1
# GGA-PBE BaC2SeCl, optimized geometry
# Raw formation energy (kcal/mol of atoms): 40.3
data_BaC2SeCl
_chemical_formula_sum 'Ba1 C2 Se1 Cl1'
_cell_length_a 4.661
_cell_length_b 4.661
_cell_length_c 5.269
_cell_angle_alpha 90.00
_cell_angle_beta 90.00
_cell_angle_gamma 90.00
_space_group_name_H-M_alt 'P 4/m m m'
_space_group_IT_number 123
_space_group_name_Hall '-P 4 2'
loop_
_atom_site_label
_atom_site_type_symbol
_atom_site_fract_x
_atom_site_fract_y
_atom_site_fract_z
_atom_site_occupancy
Ba1 Ba 0.000 0.000 0.000 1
C1 C 0.000 0.500 0.500 1
Se1 Se 0.500 0.500 0.000 1
Cl1 Cl 0.500 0.500 0.500 1

Record 2
# GGA-PBE BaSnCCl2, optimized geometry
# Raw formation energy (kcal/mol of atoms): 9.2
data_BaSnCCl2
_chemical_formula_sum 'Ba1 Sn1 C1 Cl2'
_cell_length_a 5.927
_cell_length_b 5.927
_cell_length_c 5.265
_cell_angle_alpha 90.00
_cell_angle_beta 90.00
_cell_angle_gamma 90.00
_space_group_name_H-M_alt 'P 4/m m m'
_space_group_IT_number 123
_space_group_name_Hall '-P 4 2'
loop_
_atom_site_label
_atom_site_type_symbol
_atom_site_fract_x
_atom_site_fract_y
_atom_site_fract_z
_atom_site_occupancy
Ba1 Ba 0.000 0.000 0.000 1
Sn1 Sn 0.500 0.500 0.500 1
C1 C 0.000 0.000 0.500 1
Cl1 Cl 0.000 0.500 0.000 1

Record 3
# GGA-PBE BaCoC, optimized geometry
# DFT formation energy (eV/atom): 0.068
data_BaCoC
_chemical_formula_sum 'Ba4 Co4 C4'
_cell_length_a 5.713
_cell_length_b 3.648
_cell_length_c 11.513
_cell_angle_alpha 90.00
_cell_angle_beta 90.00
_cell_angle_gamma 90.00
_space_group_name_H-M_alt 'P n m a'
_space_group_IT_number 62
loop_
_space_group_symop_operation_xyz
'x,y,z'
'-x,-y,-z'
'-x+1/2,-y,z+1/2'
'x+1/2,y,-z+1/2'
'x+1/2,-y+1/2,-z+1/2'
'-x+1/2,y+1/2,z+1/2'
'-x,y+1/2,-z'
'x,-y+1/2,z'
loop_
_atom_site_label
_atom_site_type_symbol
_atom_site_fract_x
_atom_site_fract_y
_atom_site_fract_z
_atom_site_occupancy
Ba1 Ba 0.051 0.250 0.156 1
Co1 Co 0.040 0.750 0.435 1
C1 C 0.059 0.250 0.411 1

Record 4
# GGA-PBE Ba3CoC, optimized geometry
# DFT formation energy (eV/atom): 1.223
data_Ba3CoC
_chemical_formula_sum 'Ba3 Co1 C1'
_cell_length_a 5.595
_cell_length_b 5.595
_cell_length_c 5.595
_cell_angle_alpha 90.00
_cell_angle_beta 90.00
_cell_angle_gamma 90.00
_space_group_name_H-M_alt 'P m -3 m'
_space_group_IT_number 221
_space_group_name_Hall '-P 4 2 3'
loop_
_atom_site_label
_atom_site_type_symbol
_atom_site_fract_x
_atom_site_fract_y
_atom_site_fract_z
_atom_site_occupancy
Ba1 Ba 0.000 0.000 0.500 1
Co1 Co 0.000 0.000 0.000 1
C1 C 0.500 0.500 0.500 1

Record 5
# GGA-PBE BaCo2C, optimized geometry
# DFT formation energy (eV/atom): 0.330
data_BaCo2C
_chemical_formula_sum 'Ba4 Co8 C4'
_cell_length_a 6.319
_cell_length_b 6.319
_cell_length_c 7.113
_cell_angle_alpha 90.00
_cell_angle_beta 90.00
_cell_angle_gamma 90.00
_space_group_name_H-M_alt 'I -4 2 d'
_space_group_IT_number 122
_space_group_name_Hall 'I -4 2bw'
loop_
_atom_site_label
_atom_site_type_symbol
_atom_site_fract_x
_atom_site_fract_y
_atom_site_fract_z
_atom_site_occupancy
Ba1 Ba 0.000 0.000 0.000 1
Co1 Co 0.019 0.250 0.625 1
C1 C 0.000 0.000 0.500 1

Record 6
# GGA-PBE BaCoC3, optimized geometry
# Relative energy among the computed polymorphs (meV per atom): 2402
# DFT formation energy (eV/atom): 4.154
data_BaCoC3
_chemical_formula_sum 'Ba1 Co1 C3'
_cell_length_a 4.596
_cell_length_b 4.596
_cell_length_c 4.596
_cell_angle_alpha 90.00
_cell_angle_beta 90.00
_cell_angle_gamma 90.00
_space_group_name_H-M_alt 'P m -3 m'
_space_group_IT_number 221
_space_group_name_Hall '-P 4 2 3'
loop_
_atom_site_label
_atom_site_type_symbol
_atom_site_fract_x
_atom_site_fract_y
_atom_site_fract_z
_atom_site_occupancy
Ba1 Ba 0.000 0.000 0.000 1
Co1 Co 0.500 0.500 0.500 1
C1 C 0.000 0.000 0.500 1

Record 7
# GGA-PBE BaCo2C2, optimized geometry
# DFT formation energy (eV/atom): 0.039
data_BaCo2C2
_chemical_formula_sum 'Ba2 Co4 C4'
_cell_length_a 3.438
_cell_length_b 3.438
_cell_length_c 11.563
_cell_angle_alpha 90.00
_cell_angle_beta 90.00
_cell_angle_gamma 90.00
_space_group_name_H-M_alt 'I 4/m m m'
_space_group_IT_number 139
_space_group_name_Hall '-I 4 2'
loop_
_atom_site_label
_atom_site_type_symbol
_atom_site_fract_x
_atom_site_fract_y
_atom_site_fract_z
_atom_site_occupancy
Ba1 Ba 0.000 0.000 0.000 1
Co1 Co 0.000 0.500 0.250 1
C1 C 0.000 0.000 0.329 1

Record 8
# GGA-PBE BaCoC3, optimized geometry
# Relative energy among the computed polymorphs (meV per atom): 0
# DFT formation energy (eV/atom): 1.751
data_BaCoC3
_chemical_formula_sum 'Ba1 Co1 C3'
_cell_length_a 4.033
_cell_length_b 4.033
_cell_length_c 4.033
_cell_angle_alpha 90.00
_cell_angle_beta 90.00
_cell_angle_gamma 90.00
_space_group_name_H-M_alt 'P m -3 m'
_space_group_IT_number 221
_space_group_name_Hall '-P 4 2 3'
loop_
_atom_site_label
_atom_site_type_symbol
_atom_site_fract_x
_atom_site_fract_y
_atom_site_fract_z
_atom_site_occupancy
Ba1 Ba 0.000 0.000 0.000 1
Co1 Co 0.500 0.500 0.500 1
C1 C 0.000 0.500 0.500 1